Entry 1:
NbGaReH2: relaxed, PBE.

```
5
Lattice="3.612 0.000 0.000 0.000 5.296 0.000 0.000 0.000 3.612" Properties=species:S:1:pos:R:3 pbc="T T T"
Re 0.000 2.648 0.000
Nb 1.806 2.648 1.806
Ga 0.000 0.000 0.000
H 0.000 0.000 1.806
H 1.806 0.000 0.000
```

## Properties
* SG: P4/mmm, No. 123
* E_tot: -5.607 eV/atom
* V: 69.11 Å³/cell


Entry 2:
CsNa2AsAu: relaxed, PBE.

```
5
Lattice="-0.525 5.564 0.931 -2.520 -1.068 4.961 4.747 0.043 2.420" Properties=species:S:1:pos:R:3 pbc="T T T"
Cs 0.851 2.270 4.156
Na -1.260 -0.534 2.480
Na -0.263 2.782 0.465
As 0.000 0.000 0.000
Au 2.374 0.022 1.210
```

## Properties
* SG: P4/mmm, No. 123
* E_tot: -2.512 eV/atom
* V: 171.04 Å³/cell
* ΔE to the lowest computed polymorph: 0.0 meV/atom


Entry 3:
LaRu2W: relaxed, PBE.

```
4
Lattice="-1.939 -3.922 1.272 1.754 -1.544 -2.087 4.434 -1.260 2.875" Properties=species:S:1:pos:R:3 pbc="T T T"
La 3.968 -4.140 1.448
Ru 4.701 -1.516 2.493
Ru 0.573 -2.477 1.398
W 2.536 -1.257 -0.010
```

## Properties
* SG: Pm, No. 6
* E_tot: -8.843 eV/atom
* V: 75.69 Å³/cell


Entry 4:
Mg2ZnO3: relaxed, PBE.

```
12
Lattice="5.571 -0.004 -0.957 -3.024 4.678 -0.957 0.005 0.009 5.662" Properties=species:S:1:pos:R:3 pbc="T T T"
Mg 2.022 2.017 -0.935
Mg 3.460 1.220 1.899
Mg 0.601 2.797 1.896
Mg -0.854 3.564 -0.932
Zn -2.269 4.339 1.888
Zn 4.874 0.442 -0.943
O -0.365 1.050 1.912
O 1.083 0.267 4.742
O 3.759 1.829 3.769
O -0.504 4.146 0.938
O 0.893 3.362 3.783
O 2.338 2.569 0.952
```

## Properties
* SG: Cc, No. 9
* E_tot: -5.444 eV/atom
* V: 147.58 Å³/cell
* raw formation energy: -2221 meV/atom
* ΔE to the lowest computed polymorph: 19.4 meV/atom


Entry 5:
LiTlB2H8: relaxed, PBE.

```
12
Lattice="4.405 0.000 0.000 2.202 3.815 0.000 2.202 1.272 7.409" Properties=species:S:1:pos:R:3 pbc="T T T"
Li 0.000 0.000 0.000
Tl 4.405 2.543 3.705
B 2.202 1.272 1.572
B 6.607 3.815 5.837
H 2.202 1.272 2.813
H 3.370 1.254 1.196
H 6.607 3.815 4.596
H 1.634 2.291 1.196
H 7.176 2.795 6.213
H 1.603 0.269 1.196
H 7.206 4.817 6.213
H 5.439 3.832 6.213
```

## Properties
* SG: R-3, No. 148
* E_tot: -3.895 eV/atom
* V: 124.48 Å³/cell


Entry 6:
SrHgN2F: relaxed, PBE.

```
5
Lattice="5.044 0.000 0.000 0.000 6.792 0.000 0.000 0.000 5.044" Properties=species:S:1:pos:R:3 pbc="T T T"
Sr 0.000 0.000 0.000
N 0.000 0.000 2.522
N 2.522 0.000 0.000
Hg 0.000 3.396 0.000
F 2.522 3.396 2.522
```

## Properties
* SG: P4/mmm, No. 123
* E_tot: -3.093 eV/atom
* V: 172.79 Å³/cell
* raw formation energy: 1008 meV/atom
* ΔE to the lowest computed polymorph: 834.4 meV/atom


> Which of these has the highest V?

SrHgN2F


> Among the records above, which one has the highest E_tot?

CsNa2AsAu


Please write out number 3 again, unchanged.
LaRu2W: relaxed, PBE.

```
4
Lattice="-1.939 -3.922 1.272 1.754 -1.544 -2.087 4.434 -1.260 2.875" Properties=species:S:1:pos:R:3 pbc="T T T"
La 3.968 -4.140 1.448
Ru 4.701 -1.516 2.493
Ru 0.573 -2.477 1.398
W 2.536 -1.257 -0.010
```

## Properties
* SG: Pm, No. 6
* E_tot: -8.843 eV/atom
* V: 75.69 Å³/cell


> The highest V belongs to which entry?

SrHgN2F